Version P
DFT (PBE) results for SrAsF2 after structural relaxation.

```
data_SrAsF2
_chemical_formula_sum 'Sr4 As4 F8'
_space_group_name_H-M_alt 'I -4 2 d'
_space_group_IT_number 122
_space_group_name_Hall 'I -4 2bw'
_cell_length_a 6.9332
_cell_length_b 6.9332
_cell_length_c 6.9204
_cell_angle_alpha 90.00
_cell_angle_beta 90.00
_cell_angle_gamma 90.00
loop_
_atom_site_label
_atom_site_fract_x
_atom_site_fract_y
_atom_site_fract_z
Sr1 0.0000 0.0000 0.0000
As1 0.0000 0.0000 0.5000
F1 0.1945 0.2500 0.1250
```

Summary:
The value obtained for the density is 4004 kg/m³.

Version Q
DFT (PBE) results for SrAsF2 after structural relaxation.

```
data_SrAsF2
_chemical_formula_sum 'Sr3 As3 F6'
_space_group_name_H-M_alt 'R -3 m'
_space_group_IT_number 166
_space_group_name_Hall '-R 3 2"'
_cell_length_a 3.6790
_cell_length_b 3.6790
_cell_length_c 28.0280
_cell_angle_alpha 90.00
_cell_angle_beta 90.00
_cell_angle_gamma 120.00
loop_
_atom_site_label
_atom_site_fract_x
_atom_site_fract_y
_atom_site_fract_z
Sr1 0.0000 0.0000 0.0000
As1 0.0000 0.0000 0.5000
F1 0.0000 0.0000 0.3726
```

Summary:
The value obtained for the density is 3041 kg/m³.

Version R
DFT (PBE) results for SrAsF2 after structural relaxation.

```
data_SrAsF2
_chemical_formula_sum 'Sr4 As4 F8'
_space_group_name_H-M_alt 'F m -3 m'
_space_group_IT_number 225
_space_group_name_Hall '-F 4 2 3'
_cell_length_a 6.6614
_cell_length_b 6.6614
_cell_length_c 6.6614
_cell_angle_alpha 90.00
_cell_angle_beta 90.00
_cell_angle_gamma 90.00
loop_
_atom_site_label
_atom_site_fract_x
_atom_site_fract_y
_atom_site_fract_z
Sr1 0.0000 0.0000 0.0000
As1 0.0000 0.0000 0.5000
F1 0.2500 0.2500 0.2500
```

Summary:
The value obtained for the density is 4506 kg/m³.

The structure with the least stability is version R.